Compound: K2CrAs2
Source: Alexandria via LeMat-Bulk
Functional: PBE-GGA
Structure: relaxed

POSCAR file:
```
K2CrAs2
1.0
6.747 0.000 0.000
0.000 6.747 0.000
0.000 0.000 5.563
K Cr As
4 2 4
Direct
0.170 0.330 0.000
0.330 0.830 0.000
0.670 0.170 0.000
0.830 0.670 0.000
0.000 0.000 0.500
0.500 0.500 0.500
0.135 0.635 0.500
0.365 0.135 0.500
0.635 0.865 0.500
0.865 0.365 0.500
```

Calculated values
Symmetry: P4/mbm
Raw total energy in eV/atom: -4.3892
Formation enthalpy at 0 K in eV/f.u.: -0.829